1.
Tb3SbPt after structural relaxation. Source: the Alexandria database, functional PBE.

The total magnetic moment comes out at 0.000 μB per cell. For the total energy, the calculation gives -5.704 eV per atom. The density of states at the Fermi level is 0.84 states/eV per atom. The formation energy from raw total energies is -893 meV per atom. The calculated volume is 286 Å³/cell.

The structure belongs to space group P-1 (No. 2); the cell edges are 5.347, 7.574 and 8.131 Å and the angles 67.50°, 79.49° and 70.10°. The asymmetric unit holds Tb at (0.052, 0.106, 0.167), Tb at (0.327, 0.238, 0.707), Tb at (0.360, 0.452, 0.217), Sb at (0.138, 0.709, 0.525) and Pt at (0.433, 0.828, 0.973).

2.
Tb8Sb2Pt3 after structural relaxation. Source: the Alexandria database, functional PBE.

The total magnetic moment comes out at 0.000 μB per cell. For the total energy, the calculation gives -5.673 eV per atom. The density of states at the Fermi level is 0.82 states/eV per atom. The formation energy from raw total energies is -796 meV per atom. The calculated volume is 852 Å³/cell.

The structure belongs to space group C2/m (No. 12); the cell edges are 15.852, 8.064 and 6.957 Å and the angles 90.00°, 106.66° and 90.00°. The asymmetric unit holds Tb at (0.090, 0.000, 0.359), Tb at (0.099, 0.500, 0.408), Tb at (0.107, 0.254, 0.901), Sb at (0.246, 0.000, 0.166), Pt at (0.000, 0.243, 0.500) and Pt at (0.000, 0.500, 0.000).

3.
Tb2SbPt9 after structural relaxation. Source: the Alexandria database, functional PBE.

The total magnetic moment comes out at 0.000 μB per cell. For the total energy, the calculation gives -6.396 eV per atom. The density of states at the Fermi level is 0.54 states/eV per atom. The formation energy from raw total energies is -750 meV per atom. The calculated volume is 209 Å³/cell.

The structure belongs to space group P4/mmm (No. 123); the cell edges are 4.116, 4.116 and 12.327 Å and the angles 90.00°, 90.00° and 90.00°. The asymmetric unit holds Tb at (0.000, 0.000, 0.165), Sb at (0.000, 0.000, 0.500), Pt at (0.000, 0.500, 0.000), Pt at (0.000, 0.500, 0.338), Pt at (0.500, 0.500, 0.171) and Pt at (0.500, 0.500, 0.500).

4.
TbSbPt4 after structural relaxation. Source: the Alexandria database, functional PBE.

The total magnetic moment comes out at 0.000 μB per cell. For the total energy, the calculation gives -6.064 eV per atom. The density of states at the Fermi level is 0.36 states/eV per atom. The formation energy from raw total energies is -578 meV per atom. The calculated volume is 238 Å³/cell.

The structure belongs to space group P-1 (No. 2); the cell edges are 5.302, 6.496 and 7.408 Å and the angles 89.86°, 70.38° and 82.21°. The asymmetric unit holds Tb at (0.097, 0.253, 0.042), Sb at (0.000, 0.000, 0.500), Sb at (0.500, 0.500, 0.500), Pt at (0.039, 0.370, 0.658), Pt at (0.332, 0.872, 0.136), Pt at (0.339, 0.957, 0.698) and Pt at (0.484, 0.576, 0.839).

5.
TbSbPt after structural relaxation. Source: the Alexandria database, functional PBE.

The total magnetic moment comes out at 0.000 μB per cell. For the total energy, the calculation gives -6.158 eV per atom. The density of states at the Fermi level is 0.02 states/eV per atom. The formation energy from raw total energies is -1227 meV per atom. The calculated volume is 291 Å³/cell.

The structure belongs to space group F-43m (No. 216); the cell edges are 6.630, 6.630 and 6.630 Å and the angles 90.00°, 90.00° and 90.00°. The asymmetric unit holds Tb at (0.000, 0.000, 0.000), Sb at (0.000, 0.000, 0.500) and Pt at (0.250, 0.250, 0.750).

6.
TbSbPt6 after structural relaxation. Source: the Alexandria database, functional PBE.

The total magnetic moment comes out at 0.000 μB per cell. For the total energy, the calculation gives -6.233 eV per atom. The density of states at the Fermi level is 0.28 states/eV per atom. The formation energy from raw total energies is -608 meV per atom. The calculated volume is 138 Å³/cell.

The structure belongs to space group P4/mmm (No. 123); the cell edges are 4.104, 4.104 and 8.223 Å and the angles 90.00°, 90.00° and 90.00°. The asymmetric unit holds Tb at (0.000, 0.000, 0.000), Sb at (0.000, 0.000, 0.500), Pt at (0.000, 0.500, 0.255), Pt at (0.500, 0.500, 0.000) and Pt at (0.500, 0.500, 0.500).

7.
TbSb2Pt7 after structural relaxation. Source: the Alexandria database, functional PBE.

The total magnetic moment comes out at 0.000 μB per cell. For the total energy, the calculation gives -6.119 eV per atom. The density of states at the Fermi level is 0.29 states/eV per atom. The formation energy from raw total energies is -603 meV per atom. The calculated volume is 380 Å³/cell.

The structure belongs to space group I4/mmm (No. 139); the cell edges are 4.060, 4.060 and 23.020 Å and the angles 90.00°, 90.00° and 90.00°. The asymmetric unit holds Tb at (0.000, 0.000, 0.000), Sb at (0.000, 0.000, 0.330), Pt at (0.000, 0.000, 0.500), Pt at (0.000, 0.500, 0.093) and Pt at (0.000, 0.500, 0.250).

8.
TbSbPt4 after structural relaxation. Source: the Alexandria database, functional PBE.

The total magnetic moment comes out at 0.000 μB per cell. For the total energy, the calculation gives -6.168 eV per atom. The density of states at the Fermi level is 0.26 states/eV per atom. The formation energy from raw total energies is -682 meV per atom. The calculated volume is 452 Å³/cell.

The structure belongs to space group F-43m (No. 216); the cell edges are 7.674, 7.674 and 7.674 Å and the angles 90.00°, 90.00° and 90.00°. The asymmetric unit holds Tb at (0.000, 0.000, 0.000), Sb at (0.250, 0.250, 0.250) and Pt at (0.125, 0.125, 0.625).

9.
TbSbPt after structural relaxation. Source: the Alexandria database, functional PBE.

The total magnetic moment comes out at 0.000 μB per cell. For the total energy, the calculation gives -5.629 eV per atom. The density of states at the Fermi level is 0.57 states/eV per atom. The formation energy from raw total energies is -698 meV per atom. The calculated volume is 141 Å³/cell.

The structure belongs to space group I4mm (No. 107); the cell edges are 3.980, 3.980 and 8.908 Å and the angles 90.00°, 90.00° and 90.00°. The asymmetric unit holds Tb at (0.000, 0.000, 0.000), Sb at (0.000, 0.000, 0.669) and Pt at (0.000, 0.000, 0.359).

10.
TbSbPt5 after structural relaxation. Source: the Alexandria database, functional PBE.

The total magnetic moment comes out at 0.000 μB per cell. For the total energy, the calculation gives -6.180 eV per atom. The density of states at the Fermi level is 0.71 states/eV per atom. The formation energy from raw total energies is -615 meV per atom. The calculated volume is 524 Å³/cell.

The structure belongs to space group Pnma (No. 62); the cell edges are 8.776, 5.540 and 10.771 Å and the angles 90.00°, 90.00° and 90.00°. The asymmetric unit holds Tb at (0.247, 0.250, 0.048), Sb at (0.161, 0.250, 0.346), Pt at (0.063, 0.507, 0.796), Pt at (0.075, 0.250, 0.573), Pt at (0.091, 0.750, 0.021) and Pt at (0.181, 0.750, 0.278).

11.
TbSbPt after structural relaxation. Source: the Alexandria database, functional PBE.

The total magnetic moment comes out at 0.000 μB per cell. For the total energy, the calculation gives -5.990 eV per atom. The density of states at the Fermi level is 0.68 states/eV per atom. The formation energy from raw total energies is -1059 meV per atom. The calculated volume is 71 Å³/cell.

The structure belongs to space group P3m1 (No. 156); the cell edges are 4.4969, 4.4969 and 4.0345 Å and the angles 90.00°, 90.00° and 120.00°. The asymmetric unit holds Tb at (0.0000, 0.0000, 0.0000), Sb at (0.6667, 0.3333, 0.4842) and Pt at (0.3333, 0.6667, 0.5783).

12.
Tb4Sb2Pt after structural relaxation. Source: the Alexandria database, functional PBE.

The total magnetic moment comes out at 0.000 μB per cell. For the total energy, the calculation gives -5.541 eV per atom. The density of states at the Fermi level is 0.64 states/eV per atom. The formation energy from raw total energies is -854 meV per atom. The calculated volume is 438 Å³/cell.

The structure belongs to space group C2/m (No. 12); the cell edges are 15.549, 4.291 and 7.357 Å and the angles 90.00°, 116.84° and 90.00°. The asymmetric unit holds Tb at (0.115, 0.000, 0.429), Tb at (0.117, 0.500, 0.981), Sb at (0.232, 0.500, 0.732) and Pt at (0.000, 0.000, 0.000).

> Among the records above, which one has the highest calculated volume?

Tb8Sb2Pt3